Record 1
## Pu3Al5Te12 (PBE)

Data for a relaxed Pu3Al5Te12 crystal.

Properties
- Formation energy from raw total energies: -0.59 eV/atom
- Crystal system: cubic

Lattice parameters (Å, degrees): 14.8709 14.8709 14.8709 109.47 109.47 109.47
Last column: nearest neighbours and their distance in Å.
Sites, in units of the cell vectors:
Te  0.9118  0.0877  0.8773  2 Al 2.63-2.81
Pu  0.3750  0.7500  0.6250  8 Te 3.30
Pu  0.1250  0.8750  0.7500  8 Te 3.30
Te  0.7896  0.3240  0.9123  2 Al 2.63-2.81
Te  0.3773  0.9656  0.7896  2 Al 2.63-2.81
Al  0.7500  0.1250  0.8750  4 Te 2.63
Pu  0.2500  0.1250  0.3750  8 Te 3.30
Pu  0.8750  0.1250  0.2500  8 Te 3.30
Al  0.5000  0.0000  0.0000  6 Te 2.81
Al  0.2500  0.3750  0.6250  4 Te 2.63
Te  0.6760  0.2104  0.5877  2 Al 2.63-2.81
Te  0.7104  0.1227  0.0344  2 Al 2.63-2.81
Te  0.2104  0.5344  0.6227  2 Al 2.63-2.81
Te  0.1760  0.0882  0.9656  2 Al 2.63-2.81
Te  0.0344  0.4118  0.8240  2 Al 2.63-2.81
Te  0.9123  0.0882  0.6227  2 Al 2.63-2.81
Al  0.0000  0.0000  0.5000  6 Te 2.81
Al  0.0000  0.5000  0.5000  6 Te 2.81
Al  0.0000  0.0000  0.0000  6 Te 2.81
Al  0.8750  0.6250  0.7500  4 Te 2.63
Te  0.4656  0.6760  0.0882  2 Al 2.63-2.81
Te  0.2896  0.4123  0.8240  2 Al 2.63-2.81
Te  0.9123  0.8240  0.7896  2 Al 2.63-2.81
Te  0.5877  0.7104  0.6760  2 Al 2.63-2.81
Al  0.5000  0.0000  0.5000  6 Te 2.81
Te  0.4118  0.3773  0.5877  2 Al 2.63-2.81
Te  0.5882  0.9656  0.6760  2 Al 2.63-2.81
Te  0.8773  0.2896  0.4656  2 Al 2.63-2.81
Al  0.3750  0.1250  0.7500  4 Te 2.63
Te  0.0882  0.9123  0.1227  2 Al 2.63-2.81
Al  0.3750  0.2500  0.1250  4 Te 2.63
Te  0.2896  0.8773  0.9656  2 Al 2.63-2.81
Pu  0.1250  0.2500  0.8750  8 Te 3.30
Te  0.4123  0.1227  0.5882  2 Al 2.63-2.81
Te  0.9656  0.5882  0.1760  2 Al 2.63-2.81
Te  0.7896  0.4656  0.3773  2 Al 2.63-2.81
Al  0.1250  0.3750  0.2500  4 Te 2.63
Al  0.5000  0.5000  0.0000  6 Te 2.81
Pu  0.7500  0.8750  0.6250  8 Te 3.30
Te  0.6227  0.0344  0.2104  2 Al 2.63-2.81
Te  0.1227  0.4123  0.0882  2 Al 2.63-2.81
Al  0.2500  0.8750  0.1250  4 Te 2.63
Al  0.8750  0.2500  0.6250  4 Te 2.63
Al  0.1250  0.7500  0.3750  4 Te 2.63
Te  0.5344  0.3240  0.9118  2 Al 2.63-2.81
Te  0.0877  0.9118  0.3773  2 Al 2.63-2.81
Al  0.6250  0.8750  0.2500  4 Te 2.63
Al  0.7500  0.6250  0.3750  4 Te 2.63
Pu  0.8750  0.7500  0.1250  8 Te 3.30
Te  0.8240  0.9118  0.0344  2 Al 2.63-2.81
Te  0.5877  0.8773  0.4118  2 Al 2.63-2.81
Te  0.0877  0.1760  0.2104  2 Al 2.63-2.81
Te  0.3773  0.4118  0.0877  2 Al 2.63-2.81
Pu  0.2500  0.6250  0.8750  8 Te 3.30
Te  0.9656  0.3773  0.2896  2 Al 2.63-2.81
Pu  0.7500  0.3750  0.1250  8 Te 3.30
Te  0.8240  0.9123  0.2896  2 Al 2.63-2.81
Te  0.4656  0.7896  0.8773  2 Al 2.63-2.81
Te  0.1760  0.0877  0.7104  2 Al 2.63-2.81
Al  0.0000  0.5000  0.0000  6 Te 2.81
Te  0.6227  0.5882  0.9123  2 Al 2.63-2.81
Al  0.5000  0.5000  0.5000  6 Te 2.81
Te  0.1227  0.7104  0.5344  2 Al 2.63-2.81
Te  0.5344  0.2104  0.1227  2 Al 2.63-2.81
Al  0.6250  0.7500  0.8750  4 Te 2.63
Te  0.3240  0.7896  0.4123  2 Al 2.63-2.81
Pu  0.6250  0.3750  0.7500  8 Te 3.30
Te  0.8773  0.5877  0.9118  2 Al 2.63-2.81
Te  0.4118  0.0344  0.3240  2 Al 2.63-2.81
Te  0.4123  0.2896  0.3240  2 Al 2.63-2.81
Pu  0.6250  0.2500  0.3750  8 Te 3.30
Te  0.9118  0.8240  0.5344  2 Al 2.63-2.81
Te  0.2104  0.6760  0.0877  2 Al 2.63-2.81
Te  0.6760  0.4656  0.5882  2 Al 2.63-2.81
Te  0.7104  0.5877  0.1760  2 Al 2.63-2.81
Te  0.3240  0.5344  0.4118  2 Al 2.63-2.81
Te  0.0344  0.6227  0.7104  2 Al 2.63-2.81
Pu  0.3750  0.6250  0.2500  8 Te 3.30
Te  0.5882  0.6227  0.4123  2 Al 2.63-2.81
Te  0.0882  0.1760  0.4656  2 Al 2.63-2.81

Record 2
## PuAl2Te4 (PBE)

Data for a relaxed PuAl2Te4 crystal.

Properties
- Formation energy from raw total energies: -0.43 eV/atom
- Crystal system: tetragonal

Lattice parameters (Å, degrees): 6.0247 6.0247 7.3513 90.00 90.00 90.00
Last column: nearest neighbours and their distance in Å.
Sites, in units of the cell vectors:
Te  0.2705  0.2705  0.2811  2 Al 2.68
Te  0.2705  0.7295  0.7189  2 Al 2.68
Te  0.7295  0.2705  0.7189  2 Al 2.68
Pu  0.0000  0.0000  0.0000  4 Te 3.10
Te  0.7295  0.7295  0.2811  2 Al 2.68
Al  0.0000  0.5000  0.5000  4 Te 2.68
Al  0.5000  0.0000  0.5000  4 Te 2.68

Record 3
## PuAlTl2Te4 (PBE)

Data for a relaxed PuAlTl2Te4 crystal.

Properties
- Formation energy from raw total energies: -0.50 eV/atom
- Crystal system: orthorhombic

Lattice parameters (Å, degrees): 9.1003 9.1003 9.3785 121.02 121.02 90.24
Last column: nearest neighbours and their distance in Å.
Sites, in units of the cell vectors:
Te  0.7575  0.7425  0.9550  2 Al 2.92, 1 Pu 3.16
Al  0.0000  0.0000  0.0000  6 Te 2.91-2.92
Te  0.7927  0.2435  0.0181  1 Al 2.91, 2 Pu 3.12
Al  0.5000  0.5000  0.5000  6 Te 2.91-2.92
Te  0.2425  0.2575  0.0450  2 Al 2.92, 1 Pu 3.16
Te  0.2425  0.2575  0.4550  2 Al 2.92, 1 Pu 3.16
Tl  0.0000  0.0000  0.5000  6 Te 3.53-3.55
Tl  0.5000  0.0000  0.5000  6 Te 3.34-3.35
Pu  0.0000  0.5000  0.5000  6 Te 3.12-3.16
Pu  0.0000  0.5000  0.0000  6 Te 3.12-3.16
Te  0.2073  0.7565  0.9819  1 Al 2.91, 2 Pu 3.12
Tl  0.5000  0.0000  0.0000  6 Te 3.34-3.35
Te  0.7575  0.7425  0.5450  2 Al 2.92, 1 Pu 3.16
Te  0.2565  0.7073  0.4819  1 Al 2.91, 2 Pu 3.12
Te  0.7435  0.2927  0.5181  1 Al 2.91, 2 Pu 3.12
Tl  0.5000  0.5000  0.0000  6 Te 3.53-3.55

Record 4
## PuThAl (PBE)

Data for a relaxed PuThAl crystal.

Properties
- Polymorph energy (0 for the lowest one): 0.139 eV/atom
- Crystal system: hexagonal
- DFT formation energy: 0.053 eV/atom

Lattice parameters (Å, degrees): 3.1268 5.2110 5.2110 120.00 90.00 90.00
Last column: nearest neighbours and their distance in Å.
Sites, in units of the cell vectors:
Pu  0.8329  0.0000  0.0000  3 Th 3.01, 2 Pu 3.13
Al  0.3334  0.6667  0.3333  2 Al 3.13, 6 Pu 3.39, 6 Th 3.39
Th  0.8337  0.3333  0.6667  3 Pu 3.01, 2 Th 3.13

Record 5
## PuThAl (PBE)

Data for a relaxed PuThAl crystal.

Properties
- Polymorph energy (0 for the lowest one): 0.000 eV/atom
- Crystal system: tetragonal
- DFT formation energy: -0.086 eV/atom

Lattice parameters (Å, degrees): 3.9016 3.9016 5.6594 110.16 110.16 90.00
Last column: nearest neighbours and their distance in Å.
Sites, in units of the cell vectors:
Pu  0.9604  0.9604  0.9207  5 Th 3.12-3.30, 5 Al 3.15-3.43
Th  0.2765  0.2765  0.5529  5 Pu 3.12-3.30, 5 Al 3.20-3.33
Al  0.6132  0.6132  0.2264  5 Pu 3.15-3.43, 5 Th 3.20-3.33

Record 6
## PuThAl (PBE)

Data for a relaxed PuThAl crystal.

Properties
- Polymorph energy (0 for the lowest one): 0.051 eV/atom
- Crystal system: orthorhombic
- DFT formation energy: -0.035 eV/atom

Lattice parameters (Å, degrees): 5.3041 3.3556 8.5008 90.00 90.00 90.00
Last column: nearest neighbours and their distance in Å.
Sites, in units of the cell vectors:
Th  0.0000  0.0000  0.0000  4 Pu 3.27, 2 Th 3.36, 8 Al 3.41
Al  0.5000  0.5000  0.8429  1 Al 2.67
Pu  0.0000  0.5000  0.3308  1 Pu 2.88, 2 Al 3.04
Pu  0.0000  0.5000  0.6692  1 Pu 2.88, 2 Al 3.04
Al  0.5000  0.5000  0.1571  1 Al 2.67
Th  0.5000  0.0000  0.5000  2 Th 3.36, 4 Al 3.36, 8 Pu 3.45

Record 7
## Pu2ThAl9 (PBE)

Data for a relaxed Pu2ThAl9 crystal.

Properties
- Crystal system: trigonal
- DFT formation energy: -0.306 eV/atom

Lattice parameters (Å, degrees): 5.5633 5.5633 9.3592 72.71 72.71 60.00
Last column: nearest neighbours and their distance in Å.
Sites, in units of the cell vectors:
Al  0.5000  0.5000  0.5000  6 Al 2.75
Al  0.6652  0.6652  0.0044  6 Al 2.70-2.73
Al  0.4137  0.9234  0.2492  7 Al 2.70-2.84
Al  0.5863  0.0766  0.7508  7 Al 2.70-2.84
Al  0.0766  0.5863  0.7508  7 Al 2.70-2.84
Pu  0.1429  0.1429  0.5714  12 Al 3.20-3.27, 3 Pu 3.45
Al  0.4137  0.4137  0.2492  7 Al 2.70-2.84
Al  0.5863  0.5863  0.7508  7 Al 2.70-2.84
Pu  0.8571  0.8571  0.4286  12 Al 3.20-3.27, 3 Pu 3.45
Th  0.0000  0.0000  0.0000  18 Al 3.21-3.54
Al  0.3348  0.3348  0.9956  6 Al 2.70-2.73
Al  0.9234  0.4137  0.2492  7 Al 2.70-2.84

Record 8
## PuTi2Al (PBE)

Data for a relaxed PuTi2Al crystal.

Properties
- Polymorph energy (0 for the lowest one): 0.153 eV/atom
- Crystal system: trigonal
- DFT formation energy: 0.045 eV/atom

Lattice parameters (Å, degrees): 3.0508 3.0508 9.4303 80.69 80.69 60.00
Last column: nearest neighbours and their distance in Å.
Sites, in units of the cell vectors:
Ti  0.2473  0.2473  0.2582  3 Al 2.85, 3 Pu 2.97, 6 Ti 3.05
Pu  0.0000  0.0000  0.0000  6 Ti 2.97, 6 Pu 3.05
Ti  0.7527  0.7527  0.7418  3 Al 2.85, 3 Pu 2.97, 6 Ti 3.05
Al  0.5000  0.5000  0.5000  6 Ti 2.85, 6 Al 3.05

Record 9
## Pu2TiAl (PBE)

Data for a relaxed Pu2TiAl crystal.

Properties
- Polymorph energy (0 for the lowest one): 0.422 eV/atom
- Crystal system: trigonal
- DFT formation energy: 0.353 eV/atom

Lattice parameters (Å, degrees): 2.9977 2.9977 11.2219 82.32 82.32 60.00
Last column: nearest neighbours and their distance in Å.
Sites, in units of the cell vectors:
Al  0.0000  0.0000  0.0000  6 Al 3.00, 2 Pu 3.02
Pu  0.9093  0.9093  0.2722  6 Pu 3.00, 1 Al 3.02, 3 Ti 3.06
Pu  0.0907  0.0907  0.7278  6 Pu 3.00, 1 Al 3.02, 3 Ti 3.06
Ti  0.5000  0.5000  0.5000  6 Ti 3.00, 6 Pu 3.06

Record 10
## PuTi2Al (PBE)

Data for a relaxed PuTi2Al crystal.

Properties
- Polymorph energy (0 for the lowest one): 0.026 eV/atom
- Crystal system: tetragonal
- DFT formation energy: -0.082 eV/atom

Lattice parameters (Å, degrees): 2.8869 2.8869 8.6928 90.00 90.00 90.00
Last column: nearest neighbours and their distance in Å.
Sites, in units of the cell vectors:
Ti  0.0000  0.0000  0.2760  4 Al 2.82, 4 Ti 2.89, 4 Pu 3.15
Al  0.5000  0.5000  0.5000  8 Ti 2.82, 4 Al 2.89
Pu  0.5000  0.5000  0.0000  4 Pu 2.89, 8 Ti 3.15
Ti  0.0000  0.0000  0.7240  4 Al 2.82, 4 Ti 2.89, 4 Pu 3.15

Record 11
## PuTiAl2 (PBE)

Data for a relaxed PuTiAl2 crystal.

Properties
- Polymorph energy (0 for the lowest one): 0.160 eV/atom
- Crystal system: tetragonal
- DFT formation energy: -0.126 eV/atom

Lattice parameters (Å, degrees): 4.4282 4.1769 4.1769 90.00 90.00 90.00
Last column: nearest neighbours and their distance in Å.
Sites, in units of the cell vectors:
Pu  0.5000  0.5000  0.5000  4 Ti 2.95, 8 Al 3.04
Al  0.0000  0.5000  0.0000  4 Al 2.95, 4 Pu 3.04, 4 Ti 3.04
Ti  0.5000  0.0000  0.0000  4 Pu 2.95, 8 Al 3.04
Al  0.0000  0.0000  0.5000  4 Al 2.95, 4 Pu 3.04, 4 Ti 3.04

Record 12
## PuTiAl2 (PBE)

Data for a relaxed PuTiAl2 crystal.

Properties
- Polymorph energy (0 for the lowest one): 0.142 eV/atom
- Crystal system: cubic
- DFT formation energy: -0.144 eV/atom

Lattice parameters (Å, degrees): 4.7706 4.7706 4.7709 60.00 60.00 60.00
Last column: nearest neighbours and their distance in Å.
Sites, in units of the cell vectors:
Al  0.7500  0.7500  0.7499  4 Pu 2.92, 4 Ti 2.92
Al  0.2500  0.2500  0.2501  4 Pu 2.92, 4 Ti 2.92
Pu  0.0000  0.0000  0.0000  8 Al 2.92
Ti  0.5000  0.5000  0.5000  8 Al 2.92

- Number 4 is which compound?
  PuThAl